# Rb2PmMnO4

An optimized crystal structure of Rb2PmMnO4 (GGA+U, the Alexandria database).

Output
N(E_F) in states/eV/atom: 0.00
Uncorrected energy in eV per cell: -196.974
Total magnetization in μB per formula unit: 3.98

a = 9.831 Å, b = 9.651 Å, c = 7.408 Å
α = 90.00°, β = 125.00°, γ = 90.00°
Space group C2/c (No. 15)
One atom of each set of equivalent atoms:
Rb: 0.000 0.000 0.000 x4
Rb: 0.250 0.250 0.000 x4
Pm: 0.000 0.500 0.000 x4
Mn: 0.250 0.250 0.500 x4
O: 0.082 0.268 0.559 x8
O: 0.192 0.451 0.398 x8